Record 1
Entry from Alexandria via LeMat-Bulk: an optimized crystal structure of PuHfTh (PBE).

Cell: 7.3851 7.3851 7.3851 Å, 153.73 153.73 37.49°
Atoms (fractional coordinates):
Pu1 0.0000 0.0000 0.0000
Hf1 0.3430 0.3430 0.0000
Th1 0.6724 0.6724 0.0000

Results
offset from the most stable computed form	3.2	meV per atom
space-group type	No. 107
ΔE_f	0.173	eV/atom

---

Record 2
Entry from Alexandria via LeMat-Bulk: an optimized crystal structure of Ga3NiW (PBE).

Cell: 4.4316 4.4316 4.4316 Å, 90.00 90.00 90.00°
Atoms (fractional coordinates):
Ga1 0.0000 0.0000 0.5000
Ga2 0.0000 0.5000 0.0000
Ga3 0.5000 0.0000 0.0000
Ni1 0.0000 0.0000 0.0000
W1 0.5000 0.5000 0.5000

Results
offset from the most stable computed form	0.0	meV per atom
space-group type	No. 221
ΔE_f	0.765	eV/atom

---

Record 3
Entry from Alexandria via LeMat-Bulk: an optimized crystal structure of LaTbHo3Er (PBE).

Cell: 6.3623 6.3623 11.7385 Å, 90.00 90.00 125.12°
Atoms (fractional coordinates):
La1 0.0025 0.9975 0.7500
La2 0.9975 0.0025 0.2500
Tb1 0.5000 0.5000 0.0000
Tb2 0.5000 0.5000 0.5000
Ho1 0.1751 0.8249 0.0015
Ho2 0.1751 0.8249 0.4985
Ho3 0.3280 0.6720 0.7500
Ho4 0.6720 0.3280 0.2500
Ho5 0.8249 0.1751 0.5015
Ho6 0.8249 0.1751 0.9985
Er1 0.3300 0.6700 0.2500
Er2 0.6700 0.3300 0.7500

Results
space-group type	No. 63
ΔE_f	0.120	eV/atom

---

Record 4
Entry from Alexandria via LeMat-Bulk: an optimized crystal structure of CsHgI2O (PBE).

Cell: 7.5331 7.5331 4.4082 Å, 90.00 90.00 90.00°
Atoms (fractional coordinates):
Cs1 0.0000 0.0000 0.0000
Hg1 0.5000 0.5000 0.5000
I1 0.0000 0.5000 0.0000
I2 0.5000 0.0000 0.0000
O1 0.0000 0.0000 0.5000

Results
offset from the most stable computed form	650.5	meV per atom
space-group type	No. 123
formation energy without anion corrections	0.18	eV per atom

---

Record 5
Entry from Alexandria via LeMat-Bulk: an optimized crystal structure of AcGe3Pt3 (PBE).

Cell: 8.2427 8.2427 8.2427 Å, 52.18 52.18 52.18°
Atoms (fractional coordinates):
Ac1 0.1661 0.1661 0.1661
Ac2 0.8339 0.8339 0.8339
Ge1 0.1048 0.4157 0.6971
Ge2 0.3029 0.8952 0.5843
Ge3 0.4157 0.6971 0.1048
Ge4 0.5843 0.3029 0.8952
Ge5 0.6971 0.1048 0.4157
Ge6 0.8952 0.5843 0.3029
Pt1 0.0277 0.7409 0.3682
Pt2 0.2591 0.6318 0.9723
Pt3 0.3682 0.0277 0.7409
Pt4 0.6318 0.9723 0.2591
Pt5 0.7409 0.3682 0.0277
Pt6 0.9723 0.2591 0.6318

Results
offset from the most stable computed form	20.2	meV per atom
space-group type	No. 148
ΔE_f	-0.571	eV/atom

---

Record 6
Entry from Alexandria via LeMat-Bulk: an optimized crystal structure of CeSnPd (PBE).

Cell: 7.4511 4.7218 7.9846 Å, 90.00 90.00 90.00°
Atoms (fractional coordinates):
Ce1 0.0124 0.2500 0.2050
Ce2 0.4876 0.7500 0.7050
Ce3 0.5124 0.2500 0.2950
Ce4 0.9876 0.7500 0.7950
Sn1 0.1894 0.2500 0.5881
Sn2 0.3106 0.7500 0.0881
Sn3 0.6894 0.2500 0.9119
Sn4 0.8106 0.7500 0.4119
Pd1 0.2068 0.7500 0.4174
Pd2 0.2932 0.2500 0.9174
Pd3 0.7068 0.7500 0.0826
Pd4 0.7932 0.2500 0.5826

Results
space-group type	No. 62
ΔE_f	-0.830	eV/atom

---

Record 7
Entry from Alexandria via LeMat-Bulk: an optimized crystal structure of LaTb6Er3Sc2 (PBE).

Cell: 6.0841 6.0841 11.6537 Å, 94.97 94.97 119.97°
Atoms (fractional coordinates):
La1 0.0000 0.0000 0.0000
Tb1 0.0838 0.4205 0.2489
Tb2 0.2532 0.2532 0.7509
Tb3 0.4205 0.0838 0.2489
Tb4 0.5795 0.9162 0.7511
Tb5 0.7468 0.7468 0.2491
Tb6 0.9162 0.5795 0.7511
Er1 0.1674 0.8326 0.5000
Er2 0.5000 0.5000 0.5000
Er3 0.8326 0.1674 0.5000
Sc1 0.3334 0.6666 0.0000
Sc2 0.6666 0.3334 0.0000

Results
space-group type	No. 12
ΔE_f	0.041	eV/atom

---

Record 8
Entry from Alexandria via LeMat-Bulk: an optimized crystal structure of BaLi2SbI (PBE).

Cell: 5.2496 5.2496 6.9384 Å, 90.00 90.00 90.00°
Atoms (fractional coordinates):
Ba1 0.0000 0.0000 0.0000
Li1 0.0000 0.5000 0.5000
Li2 0.5000 0.0000 0.5000
Sb1 0.0000 0.0000 0.5000
I1 0.5000 0.5000 0.0000

Results
space-group type	No. 123
formation energy without anion corrections	-0.90	eV per atom

---

no.,spin magnetization (μB/atom),E (eV per atom)
1,1.76,-10.395
2,0.43,-4.798
3,0.00,-4.522
4,0.34,-1.663
5,0.00,-5.726
6,0.18,-5.873
7,0.00,-4.881
8,0.00,-3.180